VASP calculation (PBE) on a relaxed Ta6MoPd crystal.

Lattice parameters (Å, degrees): 4.5941 4.5941 7.3902 71.89 71.89 90.00
Sites, in units of the cell vectors:
Ta 0.7482 0.7481 0.5038
Ta 0.6228 0.1228 0.7544
Ta 0.1228 0.6228 0.7544
Ta 0.3772 0.8772 0.2456
Ta 0.2518 0.2519 0.4962
Ta 0.8772 0.3772 0.2456
Mo 0.5000 0.5000 0.0000
Pd 0.0000 0.0000 0.0000

As for the formation energy: -1.1 eV per formula unit.


VASP calculation (PBE) on a relaxed TaMoPd crystal.

Lattice parameters (Å, degrees): 4.3824 4.3824 6.9962 71.75 71.75 60.00
Sites, in units of the cell vectors:
Ta 0.0741 0.0741 0.7778
Ta 0.9259 0.9259 0.2222
Mo 0.6451 0.6451 0.0647
Mo 0.3549 0.3549 0.9353
Pd 0.2110 0.2110 0.3669
Pd 0.7890 0.7890 0.6331

As for the formation energy: 0.5 eV per formula unit. For the distance to the lowest polymorph of the same formula, the calculation gives 124 meV per atom.


VASP calculation (PBE) on a relaxed TaTl2MoPd crystal.

Lattice parameters (Å, degrees): 5.4331 4.8370 5.4331 90.00 90.00 90.00
Site moments in Bohr magnetons follow the coordinates.
Sites, in units of the cell vectors:
Tl 0.0000 0.0000 0.5000  -0.02
Tl 0.5000 0.0000 0.0000  0.00
Mo 0.5000 0.5000 0.5000  3.65
Pd 0.0000 0.5000 0.0000  -0.04
Ta 0.0000 0.0000 0.0000  -0.34

As for the formation energy: 7.7 eV per formula unit.